[1]
The following is a DFT calculation (GGA-PBE) of an optimized crystal structure of KZr2Au.

Structure (CIF):
```
data_KZr2Au
_cell_length_a 5.1812
_cell_length_b 5.1812
_cell_length_c 5.1812
_cell_angle_alpha 60.00
_cell_angle_beta 60.00
_cell_angle_gamma 60.00
_space_group_name_H-M_alt 'P 1'
_space_group_IT_number 1
loop_
_space_group_symop_operation_xyz
'x,y,z'
loop_
_atom_site_label
_atom_site_fract_x
_atom_site_fract_y
_atom_site_fract_z
Au1 0.5000 0.5000 0.5000
K1 0.7500 0.7500 0.7500
Zr1 0.0000 0.0000 0.0000
Zr2 0.2500 0.2500 0.2500
```

Values from the calculation:
V in Å³/f.u.: 98
E_form in meV/atom: 656
Total magnetization in μB/cell: 3.37
E above lowest polymorph in eV/atom: 0.696

[2]
The following is a DFT calculation (GGA-PBE) of an optimized crystal structure of Al2TeCl.

Structure (CIF):
```
data_Al2TeCl
_cell_length_a 6.3837
_cell_length_b 6.3837
_cell_length_c 6.3837
_cell_angle_alpha 147.36
_cell_angle_beta 138.30
_cell_angle_gamma 53.94
_space_group_name_H-M_alt 'P 1'
_space_group_IT_number 1
loop_
_space_group_symop_operation_xyz
'x,y,z'
loop_
_atom_site_label
_atom_site_fract_x
_atom_site_fract_y
_atom_site_fract_z
Cl1 0.5176 0.5176 0.0000
Al1 0.1918 0.6918 0.5000
Al2 0.9937 0.9937 0.0000
Te1 0.7970 0.2970 0.5000
```

Values from the calculation:
V in Å³/f.u.: 93
Total magnetization in μB/cell: 0.00
E above lowest polymorph in eV/atom: 0.260